This record from the Alexandria database describes a relaxed structure of Cu2SiRu. The functional is PBE.

It has space group P4/mmm (No. 123), with a = 2.595 Å, b = 2.595 Å, c = 7.758 Å, α = 90.00°, β = 90.00° and γ = 90.00°. The asymmetric unit holds Cu at (0.000, 0.000, 0.242), Si at (0.500, 0.500, 0.000) and Ru at (0.500, 0.500, 0.500).

Its total energy is -5.465 eV per atom. The calculation puts the uncorrected formation energy at 0.2579 eV/atom. Its volume is 13.06 Å³/atom.